# SrHgPb2S4

A relaxed structure of SrHgPb2S4 (GGA-PBE, Alexandria via LeMat-Bulk).

abc: 7.2564 4.1657 7.3678
angles: 90.00 110.68 90.00
With the nearest neighbours (Å) after each atom.
Positions (direct):
Sr (0.0000, 0.0000, 0.0000)  6 S 2.94-3.01
Hg (0.5000, 0.5000, 0.0000)  6 S 2.84-3.06
Pb (0.0000, 0.5000, 0.5000)  6 S 2.96-3.05
Pb (0.5000, 0.0000, 0.5000)  6 S 2.95-3.01
S (0.2447, 0.5000, 0.2527)  2 Sr 2.94, 3 Pb 2.95-2.96, 1 Hg 3.06
S (0.2688, 0.0000, 0.7682)  2 Hg 2.84, 3 Pb 3.01-3.05, 1 Sr 3.01
S (0.7312, 0.0000, 0.2318)  2 Hg 2.84, 3 Pb 3.01-3.05, 1 Sr 3.01
S (0.7553, 0.5000, 0.7473)  2 Sr 2.94, 3 Pb 2.95-2.96, 1 Hg 3.06

Properties
* volume: 208.4 Å³/cell
* Fermi-level density of states: 0.24 states/eV per cell
* total DFT energy (no corrections): -4.003 eV per atom
* SG: P2/m (10)
* M_tot: 0.00 μB/f.u.